SbTeF: relaxed, GGA-PBE.

```
data_SbTeF
_chemical_formula_sum 'Sb2 Te2 F2'
_symmetry_space_group_name_H-M 'P 1'
_symmetry_Int_Tables_number 1
_cell_length_a 6.259
_cell_length_b 6.260
_cell_length_c 4.642
_cell_angle_alpha 90.03
_cell_angle_beta 89.97
_cell_angle_gamma 95.07
loop_
_symmetry_equiv_pos_as_xyz
'x,y,z'
loop_
_atom_site_label
_atom_site_type_symbol
_atom_site_fract_x
_atom_site_fract_y
_atom_site_fract_z
Sb1 Sb 0.673 0.467 0.588
Sb2 Sb 0.173 0.967 0.669
Te1 Te 0.131 0.510 0.629
Te2 Te 0.631 0.010 0.626
F1 F 0.166 0.977 0.107
F2 F 0.666 0.476 0.150
```

Summary:
**Formation energy (no corrections)**: -94.7 kJ per mole of atoms
**Total magnetic moment**: 0.00 μB per atom
**Theoretical density**: 4.92 Mg/m³
**Energy above the lowest structure with this stoichiometry**: 0.0000 eV per atom